[1]
The following is a DFT calculation (GGA-PBE) of a geometry-optimized NaHg2O4 structure. Values from VASP.

Geometry as Quantum ESPRESSO input:
```
&SYSTEM
  ibrav = 0, nat = 14, ntyp = 3
/
ATOMIC_SPECIES
Na 22.99 Na.upf
Hg 200.59 Hg.upf
O 16.00 O.upf
CELL_PARAMETERS angstrom
-3.588 3.588 3.535
3.588 -3.588 3.535
3.588 3.588 -3.535
ATOMIC_POSITIONS crystal
Na 0.000 0.000 0.000
Na 0.750 0.250 0.500
Hg 0.211 0.625 0.086
Hg 0.375 0.461 0.586
Hg 0.539 0.125 0.914
Hg 0.875 0.789 0.414
O 0.041 0.392 0.256
O 0.136 0.785 0.744
O 0.142 0.291 0.756
O 0.215 0.959 0.351
O 0.535 0.386 0.244
O 0.608 0.864 0.649
O 0.614 0.858 0.149
O 0.709 0.465 0.851
```

## Properties
formation energy from raw total energies	-140	meV/atom
space group	No. 122

[2]
The following is a DFT calculation (GGA-PBE) of a geometry-optimized CaY2Si2 structure. Values from VASP.

Geometry as Quantum ESPRESSO input:
```
&SYSTEM
  ibrav = 0, nat = 5, ntyp = 3
/
ATOMIC_SPECIES
Ca 40.08 Ca.upf
Y 88.91 Y.upf
Si 28.09 Si.upf
CELL_PARAMETERS angstrom
-2.322 2.322 6.076
2.322 -2.322 6.076
2.322 2.322 -6.076
ATOMIC_POSITIONS crystal
Ca 0.000 0.000 0.000
Y 0.250 0.750 0.500
Y 0.750 0.250 0.500
Si 0.401 0.401 0.000
Si 0.599 0.599 0.000
```

## Properties
formation energy from raw total energies	-384	meV/atom
space group	No. 139
polymorph energy (0 for the lowest one)	14.4	kJ/mol of atoms

[3]
The following is a DFT calculation (GGA-PBE) of a geometry-optimized VOs2Ru6 structure. Values from VASP.

Geometry as Quantum ESPRESSO input:
```
&SYSTEM
  ibrav = 0, nat = 18, ntyp = 3
/
ATOMIC_SPECIES
V 50.94 V.upf
Os 190.23 Os.upf
Ru 101.07 Ru.upf
CELL_PARAMETERS angstrom
5.108 0.000 0.000
-1.466 6.242 0.000
-2.169 -0.520 7.861
ATOMIC_POSITIONS crystal
V 0.109 0.360 0.268
V 0.891 0.640 0.732
Os 0.221 0.974 0.286
Os 0.439 0.695 0.821
Os 0.561 0.305 0.179
Os 0.779 0.026 0.714
Ru 0.109 0.360 0.933
Ru 0.113 0.361 0.602
Ru 0.222 0.973 0.955
Ru 0.225 0.972 0.620
Ru 0.442 0.695 0.490
Ru 0.446 0.691 0.158
Ru 0.554 0.309 0.842
Ru 0.558 0.305 0.510
Ru 0.775 0.028 0.380
Ru 0.778 0.027 0.045
Ru 0.887 0.639 0.398
Ru 0.891 0.640 0.067
```

## Properties
space group	No. 2
energy relative to the elements	-0.078	eV per atom

[4]
The following is a DFT calculation (GGA-PBE) of a geometry-optimized Ce2DySn3 structure. Values from VASP.

Geometry as Quantum ESPRESSO input:
```
&SYSTEM
  ibrav = 0, nat = 6, ntyp = 3
/
ATOMIC_SPECIES
Ce 140.12 Ce.upf
Dy 162.50 Dy.upf
Sn 118.71 Sn.upf
CELL_PARAMETERS angstrom
2.901 -8.677 0.000
2.901 8.677 0.000
0.000 0.000 3.269
ATOMIC_POSITIONS crystal
Ce 0.166 0.834 0.000
Ce 0.834 0.166 0.000
Dy 0.500 0.500 0.000
Sn 0.000 0.000 0.500
Sn 0.335 0.665 0.500
Sn 0.665 0.335 0.500
```

## Properties
space group	No. 65
polymorph energy (0 for the lowest one)	0.0	kJ/mol of atoms
energy relative to the elements	-0.596	eV per atom

[5]
The following is a DFT calculation (GGA-PBE) of a geometry-optimized Cu2RePt structure. Values from VASP.

Geometry as Quantum ESPRESSO input:
```
&SYSTEM
  ibrav = 0, nat = 4, ntyp = 3
/
ATOMIC_SPECIES
Cu 63.55 Cu.upf
Re 186.21 Re.upf
Pt 195.08 Pt.upf
CELL_PARAMETERS angstrom
2.672 0.000 0.000
0.000 2.672 0.000
0.000 0.000 7.689
ATOMIC_POSITIONS crystal
Cu 0.000 0.000 0.249
Cu 0.000 0.000 0.751
Re 0.500 0.500 0.000
Pt 0.500 0.500 0.500
```

## Properties
space group	No. 123
polymorph energy (0 for the lowest one)	11.5	kJ/mol of atoms
energy relative to the elements	0.143	eV per atom

[6]
The following is a DFT calculation (GGA-PBE) of a geometry-optimized YEr2Pt9 structure. Values from VASP.

Geometry as Quantum ESPRESSO input:
```
&SYSTEM
  ibrav = 0, nat = 12, ntyp = 3
/
ATOMIC_SPECIES
Y 88.91 Y.upf
Er 167.26 Er.upf
Pt 195.08 Pt.upf
CELL_PARAMETERS angstrom
4.109 0.000 0.000
0.000 4.109 0.000
0.000 0.000 12.326
ATOMIC_POSITIONS crystal
Y 0.000 0.000 0.000
Er 0.000 0.000 0.334
Er 0.000 0.000 0.666
Pt 0.000 0.500 0.169
Pt 0.000 0.500 0.500
Pt 0.000 0.500 0.831
Pt 0.500 0.000 0.169
Pt 0.500 0.000 0.500
Pt 0.500 0.000 0.831
Pt 0.500 0.500 0.000
Pt 0.500 0.500 0.334
Pt 0.500 0.500 0.666
```

## Properties
space group	No. 123
energy relative to the elements	-1.048	eV per atom

[7]
The following is a DFT calculation (GGA-PBE) of a geometry-optimized Mg2Be2Nb structure. Values from VASP.

Geometry as Quantum ESPRESSO input:
```
&SYSTEM
  ibrav = 0, nat = 5, ntyp = 3
/
ATOMIC_SPECIES
Mg 24.30 Mg.upf
Be 9.01 Be.upf
Nb 92.91 Nb.upf
CELL_PARAMETERS angstrom
-2.016 2.016 4.644
2.016 -2.016 4.644
2.016 2.016 -4.644
ATOMIC_POSITIONS crystal
Mg 0.131 0.131 0.000
Mg 0.869 0.869 0.000
Be 0.250 0.750 0.500
Be 0.750 0.250 0.500
Nb 0.500 0.500 0.000
```

## Properties
space group	No. 139
polymorph energy (0 for the lowest one)	26.6	kJ/mol of atoms
energy relative to the elements	0.611	eV per atom

[8]
The following is a DFT calculation (GGA-PBE) of a geometry-optimized In2BrCl structure. Values from VASP.

Geometry as Quantum ESPRESSO input:
```
&SYSTEM
  ibrav = 0, nat = 4, ntyp = 3
/
ATOMIC_SPECIES
In 114.82 In.upf
Br 79.90 Br.upf
Cl 35.45 Cl.upf
CELL_PARAMETERS angstrom
3.916 -3.924 0.000
3.916 3.924 0.000
-0.023 0.000 3.928
ATOMIC_POSITIONS crystal
In 0.000 0.500 0.000
In 0.500 0.000 0.000
Br 0.000 0.000 0.500
Cl 0.500 0.500 0.500
```

## Properties
formation energy from raw total energies	-678	meV/atom
space group	No. 12
polymorph energy (0 for the lowest one)	5.4	kJ/mol of atoms

[9]
The following is a DFT calculation (GGA-PBE) of a geometry-optimized Ho2ThTlC structure. Values from VASP.

Geometry as Quantum ESPRESSO input:
```
&SYSTEM
  ibrav = 0, nat = 5, ntyp = 4
/
ATOMIC_SPECIES
Ho 164.93 Ho.upf
Th 232.04 Th.upf
Tl 204.38 Tl.upf
C 12.01 C.upf
CELL_PARAMETERS angstrom
4.933 0.000 0.000
0.000 4.933 0.000
0.000 0.000 5.053
ATOMIC_POSITIONS crystal
Ho 0.000 0.500 0.000
Ho 0.500 0.000 0.000
Th 0.000 0.000 0.500
Tl 0.500 0.500 0.500
C 0.000 0.000 0.000
```

## Properties
space group	No. 123
energy relative to the elements	-0.378	eV per atom

[10]
The following is a DFT calculation (GGA-PBE) of a geometry-optimized Cu2HgGe2 structure. Values from VASP.

Geometry as Quantum ESPRESSO input:
```
&SYSTEM
  ibrav = 0, nat = 10, ntyp = 3
/
ATOMIC_SPECIES
Cu 63.55 Cu.upf
Hg 200.59 Hg.upf
Ge 72.64 Ge.upf
CELL_PARAMETERS angstrom
7.403 0.000 0.000
0.000 7.403 0.000
0.000 0.000 3.110
ATOMIC_POSITIONS crystal
Cu 0.122 0.378 0.000
Cu 0.378 0.878 0.000
Cu 0.622 0.122 0.000
Cu 0.878 0.622 0.000
Hg 0.000 0.000 0.000
Hg 0.500 0.500 0.000
Ge 0.172 0.672 0.500
Ge 0.328 0.172 0.500
Ge 0.672 0.828 0.500
Ge 0.828 0.328 0.500
```

## Properties
space group	No. 127
polymorph energy (0 for the lowest one)	0.0	kJ/mol of atoms
energy relative to the elements	0.219	eV per atom

[11]
The following is a DFT calculation (GGA-PBE) of a geometry-optimized Li4CuPt structure. Values from VASP.

Geometry as Quantum ESPRESSO input:
```
&SYSTEM
  ibrav = 0, nat = 6, ntyp = 3
/
ATOMIC_SPECIES
Li 6.94 Li.upf
Cu 63.55 Cu.upf
Pt 195.08 Pt.upf
CELL_PARAMETERS angstrom
0.000 3.378 3.378
3.378 0.000 3.378
3.378 3.378 0.000
ATOMIC_POSITIONS crystal
Li 0.124 0.124 0.124
Li 0.124 0.124 0.628
Li 0.124 0.628 0.124
Li 0.628 0.124 0.124
Cu 0.500 0.500 0.500
Pt 0.750 0.750 0.750
```

## Properties
space group	No. 216
polymorph energy (0 for the lowest one)	20.2	kJ/mol of atoms
energy relative to the elements	-0.100	eV per atom

[12]
The following is a DFT calculation (GGA-PBE) of a geometry-optimized CaCeCdGa structure. Values from VASP.

Geometry as Quantum ESPRESSO input:
```
&SYSTEM
  ibrav = 0, nat = 4, ntyp = 4
/
ATOMIC_SPECIES
Ca 40.08 Ca.upf
Ce 140.12 Ce.upf
Cd 112.41 Cd.upf
Ga 69.72 Ga.upf
CELL_PARAMETERS angstrom
0.000 3.748 3.748
3.748 0.000 3.748
3.748 3.748 0.000
ATOMIC_POSITIONS crystal
Ca 0.000 0.000 0.000
Ce 0.500 0.500 0.500
Cd 0.750 0.750 0.750
Ga 0.250 0.250 0.250
```

## Properties
space group	No. 216
polymorph energy (0 for the lowest one)	0.4	kJ/mol of atoms
energy relative to the elements	-0.350	eV per atom

[13]
The following is a DFT calculation (GGA-PBE) of a geometry-optimized CoN structure. Values from VASP.

Geometry as Quantum ESPRESSO input:
```
&SYSTEM
  ibrav = 0, nat = 2, ntyp = 2
/
ATOMIC_SPECIES
Co 58.93 Co.upf
N 14.01 N.upf
CELL_PARAMETERS angstrom
2.516 0.000 0.000
0.000 2.516 0.000
0.000 0.000 2.516
ATOMIC_POSITIONS crystal
Co 0.000 0.000 0.000
N 0.500 0.500 0.500
```

## Properties
formation energy from raw total energies	976	meV/atom
space group	No. 221
polymorph energy (0 for the lowest one)	84.0	kJ/mol of atoms

[14]
The following is a DFT calculation (GGA-PBE) of a geometry-optimized PmB2Os structure. Values from VASP.

Geometry as Quantum ESPRESSO input:
```
&SYSTEM
  ibrav = 0, nat = 4, ntyp = 3
/
ATOMIC_SPECIES
Pm 145.00 Pm.upf
B 10.81 B.upf
Os 190.23 Os.upf
CELL_PARAMETERS angstrom
1.850 1.068 4.869
-1.850 1.068 4.869
0.000 -2.136 4.869
ATOMIC_POSITIONS crystal
Pm 0.000 0.000 0.000
B 0.204 0.204 0.204
B 0.796 0.796 0.796
Os 0.500 0.500 0.500
```

## Properties
space group	No. 166
polymorph energy (0 for the lowest one)	16.3	kJ/mol of atoms
energy relative to the elements	-0.172	eV per atom

[15]
The following is a DFT calculation (GGA-PBE) of a geometry-optimized V12Ge6H structure. Values from VASP.

Geometry as Quantum ESPRESSO input:
```
&SYSTEM
  ibrav = 0, nat = 19, ntyp = 3
/
ATOMIC_SPECIES
V 50.94 V.upf
Ge 72.64 Ge.upf
H 1.01 H.upf
CELL_PARAMETERS angstrom
5.109 2.950 3.032
-5.109 2.950 3.032
0.000 -5.900 3.032
ATOMIC_POSITIONS crystal
V 0.035 0.301 0.052
V 0.052 0.035 0.301
V 0.206 0.405 0.504
V 0.301 0.052 0.035
V 0.405 0.504 0.206
V 0.496 0.794 0.595
V 0.504 0.206 0.405
V 0.595 0.496 0.794
V 0.699 0.948 0.965
V 0.794 0.595 0.496
V 0.948 0.965 0.699
V 0.965 0.699 0.948
Ge 0.114 0.678 0.325
Ge 0.322 0.675 0.886
Ge 0.325 0.114 0.678
Ge 0.675 0.886 0.322
Ge 0.678 0.325 0.114
Ge 0.886 0.322 0.675
H 0.000 0.000 0.000
```

## Properties
space group	No. 148
E	-139.02	eV/f.u.

[16]
The following is a DFT calculation (GGA-PBE) of a geometry-optimized BiCN2O structure. Values from VASP.

Geometry as Quantum ESPRESSO input:
```
&SYSTEM
  ibrav = 0, nat = 5, ntyp = 4
/
ATOMIC_SPECIES
Bi 208.98 Bi.upf
C 12.01 C.upf
N 14.01 N.upf
O 16.00 O.upf
CELL_PARAMETERS angstrom
3.292 0.000 0.000
0.000 3.292 0.000
0.000 0.000 4.909
ATOMIC_POSITIONS crystal
Bi 0.000 0.000 0.000
C 0.500 0.500 0.500
N 0.000 0.500 0.500
N 0.500 0.000 0.500
O 0.500 0.500 0.000
```

## Properties
formation energy from raw total energies	1507	meV/atom
space group	No. 123

[17]
The following is a DFT calculation (GGA-PBE) of a geometry-optimized Ce4PmEr3S8 structure. Values from VASP.

Geometry as Quantum ESPRESSO input:
```
&SYSTEM
  ibrav = 0, nat = 16, ntyp = 4
/
ATOMIC_SPECIES
Ce 140.12 Ce.upf
Pm 145.00 Pm.upf
Er 167.26 Er.upf
S 32.06 S.upf
CELL_PARAMETERS angstrom
3.951 2.281 6.532
-3.951 2.281 6.532
0.000 -4.562 6.532
ATOMIC_POSITIONS crystal
Ce 0.000 0.000 0.000
Ce 0.000 0.500 0.500
Ce 0.500 0.000 0.500
Ce 0.500 0.500 0.000
Pm 0.500 0.500 0.500
Er 0.000 0.000 0.500
Er 0.000 0.500 0.000
Er 0.500 0.000 0.000
S 0.239 0.750 0.750
S 0.245 0.245 0.245
S 0.250 0.250 0.761
S 0.250 0.761 0.250
S 0.750 0.239 0.750
S 0.750 0.750 0.239
S 0.755 0.755 0.755
S 0.761 0.250 0.250
```

## Properties
formation energy from raw total energies	-2017	meV/atom
space group	No. 166

[18]
The following is a DFT calculation (GGA-PBE) of a geometry-optimized Ti5Ge2Bi2 structure. Values from VASP.

Geometry as Quantum ESPRESSO input:
```
&SYSTEM
  ibrav = 0, nat = 18, ntyp = 3
/
ATOMIC_SPECIES
Ti 47.87 Ti.upf
Ge 72.64 Ge.upf
Bi 208.98 Bi.upf
CELL_PARAMETERS angstrom
6.978 -3.519 0.000
6.978 3.519 0.000
0.000 0.000 6.984
ATOMIC_POSITIONS crystal
Ti 0.000 0.000 0.000
Ti 0.041 0.722 0.666
Ti 0.222 0.541 0.166
Ti 0.278 0.959 0.666
Ti 0.459 0.778 0.166
Ti 0.500 0.500 0.500
Ti 0.541 0.222 0.834
Ti 0.722 0.041 0.334
Ti 0.778 0.459 0.834
Ti 0.959 0.278 0.334
Ge 0.136 0.864 0.366
Ge 0.364 0.636 0.866
Ge 0.636 0.364 0.134
Ge 0.864 0.136 0.634
Bi 0.210 0.210 0.000
Bi 0.290 0.290 0.500
Bi 0.710 0.710 0.500
Bi 0.790 0.790 0.000
```

## Properties
space group	No. 64
energy relative to the elements	-0.430	eV per atom

[19]
The following is a DFT calculation (GGA-PBE) of a geometry-optimized Y3CrSi structure. Values from VASP.

Geometry as Quantum ESPRESSO input:
```
&SYSTEM
  ibrav = 0, nat = 5, ntyp = 3
/
ATOMIC_SPECIES
Y 88.91 Y.upf
Cr 52.00 Cr.upf
Si 28.09 Si.upf
CELL_PARAMETERS angstrom
5.404 0.000 0.000
0.000 5.404 0.000
0.000 0.000 5.404
ATOMIC_POSITIONS crystal
Y 0.000 0.000 0.500
Y 0.000 0.500 0.000
Y 0.500 0.000 0.000
Cr 0.500 0.500 0.500
Si 0.000 0.000 0.000
```

## Properties
formation energy from raw total energies	290	meV/atom
space group	No. 221
polymorph energy (0 for the lowest one)	0.0	kJ/mol of atoms

[20]
The following is a DFT calculation (GGA-PBE) of a geometry-optimized Ca2NpN3 structure. Values from VASP.

Geometry as Quantum ESPRESSO input:
```
&SYSTEM
  ibrav = 0, nat = 6, ntyp = 3
/
ATOMIC_SPECIES
Ca 40.08 Ca.upf
Np 237.00 Np.upf
N 14.01 N.upf
CELL_PARAMETERS angstrom
-1.765 1.765 7.090
1.765 -1.765 7.090
1.765 1.765 -7.090
ATOMIC_POSITIONS crystal
Ca 0.167 0.167 0.000
Ca 0.833 0.833 0.000
Np 0.500 0.500 0.000
N 0.000 0.000 0.000
N 0.355 0.355 0.000
N 0.645 0.645 0.000
```

## Properties
formation energy from raw total energies	-1153	meV/atom
space group	No. 139
polymorph energy (0 for the lowest one)	0.0	kJ/mol of atoms

Result set for total magnetic moment: 0.00 0.00 0.00 2.02 0.00 0.00 0.00 0.00 0.00 0.00 0.00 0.91 1.16 0.00 0.00 0.41 2.77 0.00 6.88 2.00 μB/f.u., one per record in the order listed.